A plane-wave DFT calculation with PBE was carried out for crystalline AcMg3Hg3 at its relaxed geometry.

CIF file:
```
data_AcMg3Hg3
_cell_length_a 7.971
_cell_length_b 4.968
_cell_length_c 9.377
_cell_angle_alpha 90.00
_cell_angle_beta 105.57
_cell_angle_gamma 90.00
_space_group_name_H-M_alt 'P 1 21/m 1'
_space_group_IT_number 11
loop_
_space_group_symop_operation_xyz
'x,y,z'
'-x,-y,-z'
'-x,y+1/2,-z'
'x,-y+1/2,z'
loop_
_atom_site_label
_atom_site_type_symbol
_atom_site_fract_x
_atom_site_fract_y
_atom_site_fract_z
Ac1 Ac 0.153 0.250 0.362
Mg1 Mg 0.290 0.250 0.033
Mg2 Mg 0.317 0.750 0.845
Mg3 Mg 0.470 0.750 0.247
Hg1 Hg 0.111 0.750 0.073
Hg2 Hg 0.144 0.250 0.713
Hg3 Hg 0.401 0.750 0.568
```

Properties
* DOS at the Fermi energy: 0.434 states/eV per atom
* DFT formation energy: -285 meV per atom
* total DFT energy (no corrections): -11.79 eV per formula unit
* theoretical density: 8.37 g/cm3
* excess energy over the best structure of this formula in the dataset: 0.0 meV per atom